No. 1
# Al2RePt

Al2RePt after structural relaxation (PBE-GGA, Alexandria via LeMat-Bulk).

a = 5.5720 Å, b = 5.5720 Å, c = 5.5720 Å
α = 104.86°, β = 104.86°, γ = 119.15°
Fractional positions:
Al: 0.1083 0.6250 0.9833
Al: 0.3750 0.3583 0.4833
Al: 0.6417 0.1250 0.0167
Al: 0.8750 0.8917 0.5167
Re: 0.2500 0.7500 0.5000
Re: 0.5000 0.5000 0.0000
Pt: 0.0000 0.0000 0.0000
Pt: 0.7500 0.2500 0.5000

Summary:
**Symmetry**: I-42d, No. 122
**Volume**: 130.28 Å³ per cell
**M_tot**: 1.8 Bohr magnetons per cell
**Polymorph energy (0 for the lowest one)**: 729 meV per atom
**DFT formation energy**: 49 kJ/mol of formula units

---

No. 2
# Np3UN6

Np3UN6 after structural relaxation (PBE-GGA, Alexandria via LeMat-Bulk).

a = 5.7073 Å, b = 5.7073 Å, c = 10.9157 Å
α = 90.00°, β = 90.00°, γ = 120.00°
Fractional positions:
Np: 0.0000 0.0000 0.0000
Np: 0.0000 0.0000 0.5000
Np: 0.3333 0.6667 0.0528
Np: 0.3333 0.6667 0.4472
Np: 0.6667 0.3333 0.5528
Np: 0.6667 0.3333 0.9472
U: 0.3333 0.6667 0.7500
U: 0.6667 0.3333 0.2500
N: 0.0479 0.3662 0.6180
N: 0.0479 0.6817 0.8820
N: 0.3183 0.3662 0.8820
N: 0.3183 0.9521 0.6180
N: 0.3662 0.0479 0.3820
N: 0.3662 0.3183 0.1180
N: 0.6338 0.6817 0.6180
N: 0.6338 0.9521 0.8820
N: 0.6817 0.0479 0.1180
N: 0.6817 0.6338 0.3820
N: 0.9521 0.3183 0.3820
N: 0.9521 0.6338 0.1180

Summary:
**Symmetry**: P6_322, No. 182
**Volume**: 307.92 Å³ per cell
**M_tot**: 18.0 Bohr magnetons per cell
**Formation energy (no corrections)**: -0.8709 eV/atom
**Polymorph energy (0 for the lowest one)**: 226 meV per atom

---

No. 3
# ZrMo2As

ZrMo2As after structural relaxation (PBE-GGA, Alexandria via LeMat-Bulk).

a = 10.3071 Å, b = 10.3071 Å, c = 10.3071 Å
α = 158.43°, β = 158.43°, γ = 30.69°
Fractional positions:
Zr: 0.0000 0.0000 0.0000
Zr: 0.7500 0.2500 0.5000
Mo: 0.1611 0.6250 0.0361
Mo: 0.3750 0.4111 0.5361
Mo: 0.5889 0.1250 0.9639
Mo: 0.8750 0.8389 0.4639
As: 0.2500 0.7500 0.5000
As: 0.5000 0.5000 0.0000

Summary:
**Symmetry**: I-42d, No. 122
**Volume**: 147.86 Å³ per cell
**M_tot**: 0.0 Bohr magnetons per cell
**DFT formation energy**: 67 kJ/mol of formula units

---

No. 4
# ZrAs2Os

ZrAs2Os after structural relaxation (PBE-GGA, Alexandria via LeMat-Bulk).

a = 3.1945 Å, b = 3.1945 Å, c = 6.7931 Å
α = 90.00°, β = 90.00°, γ = 100.64°
Fractional positions:
Zr: 0.0000 0.0000 0.0000
As: 0.5000 0.5000 0.2722
As: 0.5000 0.5000 0.7278
Os: 0.0000 0.0000 0.5000

Summary:
**Symmetry**: Cmmm, No. 65
**Volume**: 68.13 Å³ per cell
**M_tot**: 0.0 Bohr magnetons per cell
**Polymorph energy (0 for the lowest one)**: 297 meV per atom
**DFT formation energy**: -35 kJ/mol of formula units

---

No. 5
# Fe2AsS

Fe2AsS after structural relaxation (PBE-GGA, Alexandria via LeMat-Bulk).

a = 4.1854 Å, b = 4.1854 Å, c = 4.1854 Å
α = 60.00°, β = 60.00°, γ = 60.00°
Fractional positions:
Fe: 0.2500 0.2500 0.2500
Fe: 0.7500 0.7500 0.7500
As: 0.0000 0.0000 0.0000
S: 0.5000 0.5000 0.5000

Summary:
**Symmetry**: Fm-3m, No. 225
**Volume**: 51.84 Å³ per cell
**M_tot**: 3.9 Bohr magnetons per cell
**Formation energy (no corrections)**: 0.1516 eV/atom

---

No. 6
# Na2H2OsO6

Na2H2OsO6 after structural relaxation (PBE-GGA, Alexandria via LeMat-Bulk).

a = 4.9781 Å, b = 4.9781 Å, c = 5.2436 Å
α = 90.00°, β = 90.00°, γ = 120.00°
Fractional positions:
Na: 0.3333 0.6667 0.3751
Na: 0.6667 0.3333 0.6249
H: 0.3333 0.6667 0.8214
H: 0.6667 0.3333 0.1786
Os: 0.0000 0.0000 0.0000
O: 0.1084 0.3470 0.7922
O: 0.2386 0.8916 0.7922
O: 0.3470 0.2386 0.2078
O: 0.6530 0.7614 0.7922
O: 0.7614 0.1084 0.2078
O: 0.8916 0.6530 0.2078

Summary:
**Symmetry**: P-3, No. 147
**Raw total energy**: -60.5 eV per cell
**Volume**: 112.54 Å³ per cell
**M_tot**: 0.0 Bohr magnetons per cell